# 1
A plane-wave DFT calculation with GGA-PBE was carried out for AcCeEr2As4 after structural relaxation.

Results
**Formation energy**: -1118 kJ/mol of formula units
**Space group**: P2/m, No. 10

Lattice parameters (Å, degrees): 4.243 7.330 7.356 70.56 90.00 90.00
Site moments in Bohr magnetons follow the coordinates.
Element x y z (fractional)
Er 0.000 0.000 0.000  0.00
Er 0.500 0.000 0.500  0.00
Ac 0.500 0.500 0.000  0.00
Ce 0.000 0.500 0.500  0.66
As 0.000 0.769 0.734  -0.01
As 0.500 0.237 0.746  -0.01
As 0.000 0.231 0.266  -0.01
As 0.500 0.763 0.254  -0.01

# 2
A plane-wave DFT calculation with GGA-PBE was carried out for AcCeGeAs after structural relaxation.

Results
**Formation energy**: -288 kJ/mol of formula units
**Space group**: F-43m, No. 216

Lattice parameters (Å, degrees): 5.323 5.323 5.323 60.00 60.00 60.00
Site moments in Bohr magnetons follow the coordinates.
Element x y z (fractional)
Ge 0.250 0.250 0.250  -0.01
Ce 0.000 0.000 0.000  0.52
Ac 0.500 0.500 0.500  0.00
As 0.750 0.750 0.750  -0.01

# 3
A plane-wave DFT calculation with GGA-PBE was carried out for AcCe2HoAs4 after structural relaxation.

Results
**Formation energy**: -1099 kJ/mol of formula units
**Space group**: P2/m, No. 10

Lattice parameters (Å, degrees): 4.278 7.405 7.420 70.59 90.00 90.00
Site moments in Bohr magnetons follow the coordinates.
Element x y z (fractional)
Ho 0.000 0.500 0.500  0.00
As 0.000 0.762 0.733  -0.02
As 0.500 0.753 0.261  -0.02
As 0.000 0.238 0.267  -0.02
As 0.500 0.247 0.739  -0.02
Ac 0.500 0.500 0.000  0.01
Ce 0.000 0.000 0.000  0.73
Ce 0.500 0.000 0.500  0.51

# 4
A plane-wave DFT calculation with GGA-PBE was carried out for AcCeAs2Ir2 after structural relaxation.

Results
**Formation energy**: -566 kJ/mol of formula units
**Space group**: P-3m1, No. 164

Lattice parameters (Å, degrees): 4.322 4.322 8.260 90.00 90.00 120.00
Element x y z (fractional)
As 0.333 0.667 0.263
As 0.667 0.333 0.737
Ac 0.000 0.000 0.000
Ce 0.000 0.000 0.500
Ir 0.333 0.667 0.726
Ir 0.667 0.333 0.274

# 5
A plane-wave DFT calculation with GGA-PBE was carried out for AcLa3Ce2As6 after structural relaxation.

Results
**Formation energy**: -1734 kJ/mol of formula units
**Space group**: C2/m, No. 12

Lattice parameters (Å, degrees): 7.547 7.547 7.550 99.61 99.61 119.98
Site moments in Bohr magnetons follow the coordinates.
Element x y z (fractional)
As 0.264 0.264 0.754  -0.01
As 0.428 0.082 0.247  -0.01
As 0.736 0.736 0.246  -0.01
As 0.082 0.428 0.247  -0.01
As 0.572 0.918 0.753  -0.01
As 0.918 0.572 0.753  -0.01
Ce 0.333 0.667 0.000  0.64
Ce 0.667 0.333 0.000  0.64
La 0.500 0.500 0.500  0.01
La 0.835 0.165 0.500  0.01
La 0.165 0.835 0.500  0.01
Ac 0.000 0.000 0.000  0.00

# 6
A plane-wave DFT calculation with GGA-PBE was carried out for Ac3La2CeAs6 after structural relaxation.

Results
**Formation energy**: -1731 kJ/mol of formula units
**Space group**: C2/m, No. 12

Lattice parameters (Å, degrees): 4.439 8.883 9.925 102.97 102.92 90.00
Site moments in Bohr magnetons follow the coordinates.
Element x y z (fractional)
As 0.339 0.913 0.678  -0.01
As 0.998 0.763 0.997  -0.01
As 0.669 0.578 0.338  0.00
As 0.331 0.422 0.662  0.00
As 0.002 0.237 0.003  -0.01
As 0.661 0.087 0.322  -0.01
Ce 0.500 0.000 0.000  0.63
Ac 0.833 0.167 0.665  0.00
Ac 0.167 0.833 0.335  0.00
Ac 0.500 0.500 0.000  0.00
La 0.166 0.333 0.333  0.00
La 0.834 0.667 0.667  0.00

# 7
A plane-wave DFT calculation with GGA-PBE was carried out for AcLaCe2As4 after structural relaxation.

Results
**Formation energy**: -1128 kJ/mol of formula units
**Space group**: P2/m, No. 10

Lattice parameters (Å, degrees): 4.339 7.533 7.517 70.58 90.00 90.00
Site moments in Bohr magnetons follow the coordinates.
Element x y z (fractional)
La 0.000 0.500 0.500  0.01
Ac 0.500 0.500 0.000  0.01
As 0.000 0.768 0.739  -0.02
As 0.500 0.764 0.250  -0.02
As 0.500 0.236 0.750  -0.02
As 0.000 0.232 0.261  -0.02
Ce 0.000 0.000 0.000  0.67
Ce 0.500 0.000 0.500  0.58

# 8
A plane-wave DFT calculation with GGA-PBE was carried out for Ac3LaCe2As6 after structural relaxation.

Results
**Formation energy**: -1695 kJ/mol of formula units
**Space group**: C2/m, No. 12

Lattice parameters (Å, degrees): 7.638 7.638 7.653 99.58 99.58 119.99
Site moments in Bohr magnetons follow the coordinates.
Element x y z (fractional)
Ac 0.834 0.166 0.500  0.00
Ac 0.500 0.500 0.500  0.00
Ac 0.166 0.834 0.500  0.00
As 0.583 0.922 0.767  -0.01
As 0.078 0.417 0.233  -0.01
As 0.738 0.738 0.232  -0.01
As 0.262 0.262 0.768  -0.01
As 0.922 0.583 0.767  -0.01
As 0.417 0.078 0.233  -0.01
La 0.000 0.000 0.000  0.01
Ce 0.667 0.333 0.000  0.65
Ce 0.333 0.667 0.000  0.65

# 9
A plane-wave DFT calculation with GGA-PBE was carried out for Ac4LaCe3As8 after structural relaxation.

Results
**Formation energy**: -2247 kJ/mol of formula units
**Space group**: R-3m, No. 166

Lattice parameters (Å, degrees): 8.808 8.821 8.808 119.95 120.00 90.00
Site moments in Bohr magnetons follow the coordinates.
Element x y z (fractional)
Ce 0.500 0.500 0.500  0.66
Ce 0.000 0.500 0.500  0.66
Ce 0.500 0.500 0.000  0.66
As 0.247 0.733 0.986  -0.01
As 0.753 0.267 0.507  -0.01
As 0.740 0.733 0.986  -0.01
As 0.260 0.267 0.014  -0.01
As 0.247 0.733 0.493  -0.01
As 0.257 0.270 0.513  -0.02
As 0.753 0.267 0.014  -0.01
As 0.743 0.730 0.487  -0.02
Ac 0.500 0.000 0.000  0.00
Ac 0.500 0.000 0.500  0.00
Ac 0.000 0.000 0.000  0.00
Ac 0.000 0.000 0.500  0.00
La 0.000 0.500 0.000  0.00

# 10
A plane-wave DFT calculation with GGA-PBE was carried out for Ac2LaCeAs4 after structural relaxation.

Results
**Formation energy**: -1141 kJ/mol of formula units
**Space group**: P2/m, No. 10

Lattice parameters (Å, degrees): 4.426 7.671 7.666 70.58 90.00 90.00
Site moments in Bohr magnetons follow the coordinates.
Element x y z (fractional)
As 0.500 0.264 0.750  -0.01
As 0.000 0.733 0.760  -0.01
As 0.500 0.736 0.250  -0.01
As 0.000 0.267 0.240  -0.01
Ac 0.500 0.000 0.500  0.00
Ac 0.000 0.000 0.000  0.00
La 0.000 0.500 0.500  0.00
Ce 0.500 0.500 0.000  0.66

# 11
A plane-wave DFT calculation with GGA-PBE was carried out for AcCe2Nd3As6 after structural relaxation.

Results
**Formation energy**: -1699 kJ/mol of formula units
**Space group**: C2/m, No. 12

Lattice parameters (Å, degrees): 7.456 7.456 7.454 99.61 99.61 119.99
Site moments in Bohr magnetons follow the coordinates.
Element x y z (fractional)
As 0.916 0.571 0.749  -0.01
As 0.571 0.916 0.749  -0.01
As 0.262 0.262 0.750  -0.01
As 0.084 0.429 0.251  -0.01
As 0.429 0.084 0.251  -0.01
As 0.738 0.738 0.250  -0.01
Nd 0.165 0.835 0.500  0.01
Nd 0.500 0.500 0.500  0.01
Nd 0.835 0.165 0.500  0.01
Ac 0.000 0.000 0.000  0.00
Ce 0.333 0.667 0.000  0.60
Ce 0.667 0.333 0.000  0.60

# 12
A plane-wave DFT calculation with GGA-PBE was carried out for AcCeNd2As4 after structural relaxation.

Results
**Formation energy**: -1129 kJ/mol of formula units
**Space group**: P2/m, No. 10

Lattice parameters (Å, degrees): 4.333 7.505 7.511 70.62 90.00 90.00
Site moments in Bohr magnetons follow the coordinates.
Element x y z (fractional)
As 0.500 0.249 0.742  -0.01
As 0.500 0.751 0.258  -0.01
As 0.000 0.243 0.262  -0.01
As 0.000 0.757 0.738  -0.01
Ce 0.000 0.500 0.500  0.64
Ac 0.500 0.500 0.000  0.00
Nd 0.500 0.000 0.500  0.00
Nd 0.000 0.000 0.000  0.01

# 13
A plane-wave DFT calculation with GGA-PBE was carried out for Ac2CeNdAs4 after structural relaxation.

Results
**Formation energy**: -1127 kJ/mol of formula units
**Space group**: P2/m, No. 10

Lattice parameters (Å, degrees): 4.397 7.632 7.609 70.62 90.00 90.00
Site moments in Bohr magnetons follow the coordinates.
Element x y z (fractional)
Nd 0.500 0.500 0.000  0.00
Ce 0.000 0.500 0.500  0.62
As 0.500 0.732 0.259  -0.01
As 0.000 0.266 0.248  -0.01
As 0.000 0.734 0.752  -0.01
As 0.500 0.268 0.741  -0.01
Ac 0.500 0.000 0.500  0.00
Ac 0.000 0.000 0.000  0.00

# 14
A plane-wave DFT calculation with GGA-PBE was carried out for AcCe2NdAs4 after structural relaxation.

Results
**Formation energy**: -1114 kJ/mol of formula units
**Space group**: P2/m, No. 10

Lattice parameters (Å, degrees): 4.315 7.480 7.481 70.58 90.00 90.00
Site moments in Bohr magnetons follow the coordinates.
Element x y z (fractional)
Ce 0.500 0.000 0.500  0.55
Ce 0.000 0.000 0.000  0.67
As 0.000 0.234 0.263  -0.02
As 0.000 0.766 0.737  -0.02
As 0.500 0.239 0.747  -0.02
As 0.500 0.761 0.253  -0.02
Nd 0.000 0.500 0.500  0.01
Ac 0.500 0.500 0.000  0.00

# 15
A plane-wave DFT calculation with GGA-PBE was carried out for AcCeNi2As2 after structural relaxation.

Results
**Formation energy**: -583 kJ/mol of formula units
**Space group**: P-3m1, No. 164

Lattice parameters (Å, degrees): 4.170 4.170 8.287 90.00 90.00 120.00
Site moments in Bohr magnetons follow the coordinates.
Element x y z (fractional)
Ni 0.667 0.333 0.272  -0.03
Ni 0.333 0.667 0.728  -0.03
Ac 0.000 0.000 0.000  0.04
As 0.667 0.333 0.733  -0.01
As 0.333 0.667 0.267  -0.01
Ce 0.000 0.000 0.500  0.53

# 16
A plane-wave DFT calculation with GGA-PBE was carried out for Ac2CeAsO8 after structural relaxation.

Results
**Space group**: P-3m1, No. 164

Lattice parameters (Å, degrees): 5.625 5.625 6.330 90.00 90.00 120.00
Site moments in Bohr magnetons follow the coordinates.
Element x y z (fractional)
O 0.302 0.151 0.179  0.03
O 0.667 0.333 0.515  0.42
O 0.698 0.849 0.821  0.03
O 0.849 0.698 0.179  0.03
O 0.151 0.849 0.821  0.03
O 0.849 0.151 0.179  0.03
O 0.333 0.667 0.485  0.42
O 0.151 0.302 0.821  0.03
Ac 0.667 0.333 0.855  0.08
Ac 0.333 0.667 0.145  0.08
Ce 0.000 0.000 0.500  -0.36
As 0.000 0.000 0.000  0.00

# 17
A plane-wave DFT calculation with GGA-PBE was carried out for AcCeAsP after structural relaxation.

Results
**Formation energy**: -492 kJ/mol of formula units
**Space group**: R3m, No. 160

Lattice parameters (Å, degrees): 4.247 4.247 7.859 90.00 105.67 120.00
Site moments in Bohr magnetons follow the coordinates.
Element x y z (fractional)
P 0.145 0.970 0.130  -0.03
As 0.459 0.127 0.601  -0.03
Ce 0.961 0.379 0.355  0.73
Ac 0.313 0.554 0.883  0.02

# 18
A plane-wave DFT calculation with GGA-PBE was carried out for AcCeAs2Pd2 after structural relaxation.

Results
**Formation energy**: -675 kJ/mol of formula units
**Space group**: P-3m1, No. 164

Lattice parameters (Å, degrees): 4.431 4.431 8.089 90.00 90.00 120.00
Site moments in Bohr magnetons follow the coordinates.
Element x y z (fractional)
Pd 0.333 0.667 0.736  -0.01
Pd 0.667 0.333 0.264  -0.01
As 0.333 0.667 0.267  -0.01
As 0.667 0.333 0.733  -0.01
Ac 0.000 0.000 0.000  0.03
Ce 0.000 0.000 0.500  0.83

# 19
A plane-wave DFT calculation with GGA-PBE was carried out for Ac2CePm3As6 after structural relaxation.

Results
**Formation energy**: -1706 kJ/mol of formula units
**Space group**: C2/m, No. 12

Lattice parameters (Å, degrees): 4.343 8.699 9.709 102.95 102.93 90.00
Site moments in Bohr magnetons follow the coordinates.
Element x y z (fractional)
As 0.004 0.756 0.008  -0.01
As 0.996 0.244 0.992  -0.01
As 0.337 0.407 0.674  0.00
As 0.663 0.593 0.326  0.00
As 0.665 0.071 0.329  -0.01
As 0.335 0.929 0.671  -0.01
Ac 0.834 0.668 0.669  0.00
Ac 0.166 0.332 0.331  0.00
Ce 0.500 0.000 0.000  0.62
Pm 0.167 0.835 0.334  0.00
Pm 0.833 0.165 0.666  0.00
Pm 0.500 0.500 0.000  0.00

# 20
A plane-wave DFT calculation with GGA-PBE was carried out for Ac2CePmAs4 after structural relaxation.

Results
**Formation energy**: -1129 kJ/mol of formula units
**Space group**: P2/m, No. 10

Lattice parameters (Å, degrees): 4.387 7.618 7.592 70.62 90.00 90.00
Site moments in Bohr magnetons follow the coordinates.
Element x y z (fractional)
Pm 0.000 0.500 0.500  0.00
As 0.000 0.269 0.242  -0.01
As 0.500 0.268 0.746  -0.01
As 0.500 0.732 0.254  -0.01
As 0.000 0.731 0.758  -0.01
Ce 0.500 0.500 0.000  0.61
Ac 0.000 0.000 0.000  0.00
Ac 0.500 0.000 0.500  0.00

Per-record Fermi-level density of states, states/eV per atom: 0.7693 1.8721 1.4025 1.0559 0.9477 0.4688 1.4297 0.9676 1.0964 0.7710 0.9588 0.7892 0.7666 1.4206 0.9092 0.5875 1.7364 1.1134 0.4781 0.7665
Per-record electronic total energy, eV/atom: -6.17 -5.57 -6.32 -7.16 -6.39 -6.16 -6.40 -6.22 -6.23 -6.19 -6.32 -6.24 -6.15 -6.36 -6.16 -7.10 -6.30 -6.12 -6.17 -6.15